(1)
Here is a relaxed Ce2PC crystal from Alexandria. Energies are from GGA-PBE.

a b c (Å): 6.9607 6.9607 6.9607
angles (deg): 31.40 31.40 31.40
Atoms (fractional coordinates):
Ce: 0.0000 0.0000 0.0000
Ce: 0.1462 0.1462 0.1462
P: 0.5728 0.5728 0.5728
C: 0.7444 0.7444 0.7444

Its crystal system is trigonal. For the formation energy, the calculation gives -0.5766 eV per atom. The value obtained for the magnetic moment is 0.2296 μB/atom. The energy above the lowest structure with this stoichiometry is 0.1273 eV/atom.

---

(2)
Here is a relaxed Ce4PC2 crystal from Alexandria. Energies are from GGA-PBE.

a b c (Å): 6.5440 6.5440 12.0592
angles (deg): 90.00 90.00 146.18
Atoms (fractional coordinates):
Ce: 0.0000 0.0000 0.0000
Ce: 0.0000 0.0000 0.5000
Ce: 0.2714 0.7286 0.6193
Ce: 0.2714 0.7286 0.8807
Ce: 0.4275 0.5725 0.2500
Ce: 0.5725 0.4275 0.7500
Ce: 0.7286 0.2714 0.1193
Ce: 0.7286 0.2714 0.3807
P: 0.0927 0.9073 0.2500
P: 0.9073 0.0927 0.7500
C: 0.3581 0.6419 0.0565
C: 0.3581 0.6419 0.4435
C: 0.6419 0.3581 0.5565
C: 0.6419 0.3581 0.9435

Its crystal system is orthorhombic. For the formation energy, the calculation gives -0.5062 eV per atom. The value obtained for the magnetic moment is 0.2694 μB/atom.

---

(3)
Here is a relaxed Ce6P3C crystal from Alexandria. Energies are from GGA-PBE.

a b c (Å): 6.3632 6.3632 7.7245
angles (deg): 114.77 114.77 60.09
Atoms (fractional coordinates):
Ce: 0.1626 0.6846 0.6572
Ce: 0.2893 0.2893 0.1526
Ce: 0.3154 0.8374 0.3428
Ce: 0.6846 0.1626 0.6572
Ce: 0.7107 0.7107 0.8474
Ce: 0.8374 0.3154 0.3428
P: 0.0000 0.0000 0.0000
P: 0.1957 0.1957 0.7211
P: 0.8043 0.8043 0.2789
C: 0.5000 0.5000 0.5000

Its crystal system is monoclinic. For the formation energy, the calculation gives -0.6727 eV per atom. The value obtained for the magnetic moment is 0.5406 μB/atom.